A plane-wave DFT calculation with PBE was carried out for crystalline PrReBi2O8 at its relaxed geometry. Values from VASP.

Geometry as Quantum ESPRESSO input:
```
&SYSTEM
  ibrav = 0, nat = 12, ntyp = 4
/
ATOMIC_SPECIES
Pr 140.91 Pr.upf
Re 186.21 Re.upf
Bi 208.98 Bi.upf
O 16.00 O.upf
CELL_PARAMETERS angstrom
3.683 -3.777 0.000
3.683 3.777 0.000
0.000 0.000 6.874
ATOMIC_POSITIONS angstrom
Pr 0.000 0.000 0.000
Re 0.000 0.000 3.437
Bi 3.683 0.000 1.740
Bi 3.683 0.000 5.133
O 1.321 0.000 2.018
O 1.321 0.000 4.856
O 3.683 1.918 3.437
O 3.683 1.391 0.000
O 3.683 -1.391 0.000
O 3.683 -1.918 3.437
O 6.044 0.000 2.018
O 6.044 0.000 4.856
```

Values from the calculation:
M_tot = 0.00 μB per formula unit
V = 191 Å³ per cell
ΔE_f (raw) = -1.766 eV per atom
SG = No. 65
final energy = -85.85 eV per cell
mass density = 7.58 g/cm3